Compound: NiMoH2
Source: Alexandria
Functional: PBE-GGA
Structure: optimized geometry

Lattice parameters (Å, degrees): 4.012 4.012 8.222 90.00 90.00 90.00
Element x y z (fractional)
Ni 0.000 0.000 0.000
Ni 0.000 0.500 0.250
Ni 0.500 0.000 0.750
Ni 0.500 0.500 0.500
Mo 0.000 0.000 0.500
Mo 0.000 0.500 0.750
Mo 0.500 0.000 0.250
Mo 0.500 0.500 0.000
H 0.199 0.250 0.125
H 0.250 0.699 0.375
H 0.250 0.801 0.875
H 0.301 0.250 0.625
H 0.699 0.750 0.625
H 0.750 0.199 0.875
H 0.750 0.301 0.375
H 0.801 0.750 0.125

DFT total energy, eV per atom: -5.75